Entry 1:
This record from Alexandria describes a geometry-optimized Mg2ZnCd structure. The functional is GGA-PBE.

Geometry as POSCAR:
```
Mg2ZnCd
1.0
4.585 0.000 0.000
0.000 5.876 0.000
0.000 0.000 6.015
Mg Cd Zn
4 2 2
Cartesian
2.292 2.033 4.401
0.000 5.344 3.098
0.000 0.532 0.091
2.292 3.844 1.393
0.000 2.369 2.453
0.000 3.507 5.461
2.292 0.748 1.832
2.292 5.128 4.840
```

Values from the calculation:
Crystal system = orthorhombic

***

Entry 2:
This record from Alexandria describes a geometry-optimized MgZnCd14 structure. The functional is GGA-PBE.

Geometry as POSCAR:
```
MgZnCd14
1.0
6.163 -0.474 0.000
-2.852 5.484 0.000
0.000 0.000 10.866
Mg Cd Zn
1 14 1
Cartesian
-2.332 5.140 5.433
0.564 3.226 8.129
1.986 0.498 2.798
1.880 4.156 0.000
5.075 0.245 2.741
1.986 0.498 8.067
3.298 1.419 0.000
-0.885 2.391 5.433
0.224 1.651 0.000
5.075 0.245 8.124
0.564 3.226 2.737
-1.203 4.394 0.000
3.631 2.987 8.067
0.764 4.887 5.433
3.631 2.987 2.798
2.228 2.126 5.433
```

Values from the calculation:
Crystal system = orthorhombic

***

Entry 3:
This record from Alexandria describes a geometry-optimized Mg3Zn2Cd4 structure. The functional is GGA-PBE.

Geometry as POSCAR:
```
Mg3Zn2Cd4
1.0
7.701 0.363 2.031
-1.692 8.503 4.897
0.516 1.906 6.991
Mg Cd Zn
6 8 4
Cartesian
5.454 7.456 7.000
1.269 3.390 2.408
3.594 10.166 11.775
1.071 3.316 6.919
2.930 0.606 2.144
4.740 5.476 4.520
4.750 5.420 9.111
6.625 4.524 6.836
1.775 5.352 4.808
6.188 2.707 4.196
3.369 8.343 9.201
0.336 8.065 9.723
3.156 2.429 4.718
-0.101 6.248 7.083
6.160 9.031 9.322
2.749 6.641 7.035
3.776 4.130 6.884
0.365 1.741 4.597
```

Values from the calculation:
Crystal system = monoclinic

***

Entry 4:
This record from Alexandria describes a geometry-optimized Mg2ZnCd structure. The functional is GGA-PBE.

Geometry as POSCAR:
```
Mg2ZnCd
1.0
-0.387 -4.506 -1.697
2.796 -1.450 -3.663
3.544 -3.188 0.782
Cd Zn Mg
1 1 2
Cartesian
2.977 -4.572 -2.289
4.465 -6.858 -3.433
0.000 0.000 0.000
1.488 -2.286 -1.144
```

Values from the calculation:
Crystal system = cubic

***

So what do the calculations give for calculated total energy? Going down the list: -1.415, -0.984, -1.249, -1.337 eV per atom.
So what do the calculations give for calculated volume? Going down the list: 20.26, 22.03, 20.87, 19.93 Å³ per atom.